A relaxed structure of Zr2CdPb. Source: Alexandria, functional PBEsol.

Calculated values
- Space group: I-4m2
- Total DFT energy (no corrections): -6.00 eV/atom
- Calculated volume: 21.9 Å³/atom
- M_tot: 0.0 μB per formula unit

```
Zr2CdPb
1.0
-2.141 2.045 -3.030
1.194 -2.927 -2.820
-3.513 -2.189 3.967
Zr Pb Cd
2 1 1
direct
0.750 0.250 0.500 Zr
0.000 0.000 0.000 Zr
0.250 0.750 0.500 Pb
0.500 0.500 0.000 Cd
```

***

A relaxed structure of Na3Sc2V3O12. Source: Alexandria, functional PBEsol.

Calculated values
- Space group: Ia-3d
- Calculated volume: 12.4 Å³/atom
- Formation energy (no corrections): -2.6579 eV per atom
- M_tot: 0.0 μB per formula unit

```
Na3Sc2V3O12
1.0
10.885 0.000 0.000
-3.628 10.263 0.000
-3.628 -5.131 8.888
O Na V Sc
48 12 12 8
direct
0.298 0.387 0.992 O
0.992 0.887 0.298 O
0.305 0.008 0.395 O
0.613 0.508 0.202 O
0.202 0.008 0.613 O
0.090 0.695 0.202 O
0.195 0.605 0.992 O
0.695 0.702 0.590 O
0.395 0.887 0.590 O
0.805 0.395 0.008 O
0.508 0.805 0.895 O
0.105 0.410 0.113 O
0.887 0.798 0.492 O
0.702 0.090 0.195 O
0.798 0.992 0.387 O
0.492 0.195 0.105 O
0.508 0.702 0.113 O
0.387 0.492 0.798 O
0.605 0.492 0.695 O
0.305 0.298 0.410 O
0.090 0.395 0.387 O
0.992 0.105 0.195 O
0.202 0.195 0.090 O
0.798 0.805 0.910 O
0.590 0.387 0.395 O
0.613 0.105 0.910 O
0.298 0.910 0.805 O
0.410 0.613 0.605 O
0.895 0.305 0.508 O
0.805 0.410 0.298 O
0.113 0.910 0.105 O
0.410 0.798 0.305 O
0.910 0.605 0.613 O
0.195 0.590 0.702 O
0.492 0.298 0.887 O
0.590 0.202 0.695 O
0.113 0.202 0.508 O
0.702 0.613 0.008 O
0.008 0.113 0.702 O
0.008 0.895 0.805 O
0.895 0.590 0.887 O
0.105 0.695 0.492 O
0.695 0.992 0.605 O
0.605 0.113 0.410 O
0.910 0.305 0.798 O
0.395 0.508 0.305 O
0.887 0.090 0.895 O
0.387 0.895 0.090 O
0.125 0.750 0.875 Na
0.250 0.625 0.375 Na
0.125 0.375 0.750 Na
0.625 0.750 0.375 Na
0.750 0.875 0.125 Na
0.250 0.125 0.875 Na
0.875 0.625 0.250 Na
0.375 0.250 0.625 Na
0.375 0.125 0.250 Na
0.875 0.250 0.125 Na
0.625 0.875 0.750 Na
0.750 0.375 0.625 Na
0.750 0.625 0.875 V
0.375 0.750 0.125 V
0.125 0.875 0.250 V
0.250 0.875 0.625 V
0.875 0.125 0.750 V
0.625 0.250 0.875 V
0.875 0.750 0.625 V
0.750 0.125 0.375 V
0.250 0.375 0.125 V
0.625 0.375 0.250 V
0.375 0.625 0.750 V
0.125 0.250 0.375 V
0.500 0.500 0.500 Sc
0.500 0.000 0.000 Sc
0.000 0.000 0.500 Sc
0.000 0.000 0.000 Sc
0.500 0.500 0.000 Sc
0.000 0.500 0.500 Sc
0.000 0.500 0.000 Sc
0.500 0.000 0.500 Sc
```

***

A relaxed structure of OsRuSe2Br. Source: Alexandria, functional PBEsol.

Calculated values
- Space group: P4/mmm
- Calculated volume: 22.8 Å³/atom
- Formation energy (no corrections): 1.3464 eV per atom
- M_tot: 2.9 μB per formula unit

```
OsRuSe2Br
1.0
4.707 0.000 0.000
0.000 4.707 0.000
0.000 0.000 5.155
Os Ru Se Br
1 1 2 1
direct
0.000 0.000 0.000 Os
0.500 0.500 0.500 Ru
0.500 0.000 0.000 Se
0.000 0.500 0.000 Se
0.000 0.000 0.500 Br
```

***

A relaxed structure of MnCrSiRu2. Source: Alexandria, functional PBEsol.

Calculated values
- Space group: P4/mmm
- Calculated volume: 15.9 Å³/atom
- Formation energy (no corrections): 0.8602 eV per atom
- M_tot: 1.1 μB per formula unit

```
MnCrSiRu2
1.0
4.300 0.000 0.000
0.000 4.302 0.000
0.000 0.000 4.302
Mn Cr Ru Si
1 1 2 1
direct
0.500 0.500 0.500 Mn
0.500 0.000 0.000 Cr
0.000 0.000 0.500 Ru
0.000 0.500 0.000 Ru
0.000 0.000 0.000 Si
```

***

A relaxed structure of Mn5Be3. Source: Alexandria, functional PBEsol.

Calculated values
- Space group: I4/mcm
- Total DFT energy (no corrections): -7.68 eV/atom
- Calculated volume: 9.2 Å³/atom
- M_tot: 0.4 μB per formula unit

```
Mn5Be3
1.0
4.170 0.000 0.000
2.085 5.933 0.000
2.085 0.000 5.933
Mn Be
10 6
direct
0.574 0.157 0.696 Mn
0.750 0.500 0.500 Mn
0.426 0.843 0.304 Mn
0.926 0.304 0.843 Mn
0.270 0.304 0.157 Mn
0.770 0.157 0.304 Mn
0.730 0.696 0.843 Mn
0.074 0.696 0.157 Mn
0.250 0.500 0.500 Mn
0.230 0.843 0.696 Mn
0.750 0.000 0.000 Be
0.172 0.156 0.500 Be
0.828 0.844 0.500 Be
0.672 0.500 0.156 Be
0.250 0.000 0.000 Be
0.328 0.500 0.844 Be
```

***

A relaxed structure of Sr2ScPt. Source: Alexandria, functional PBEsol.

Calculated values
- Space group: Immm
- Calculated volume: 32.2 Å³/atom
- Excess energy over the best structure of this formula in the dataset: 0 meV per atom
- M_tot: 0.0 μB per formula unit

```
Sr2ScPt
1.0
-1.268 2.062 -2.583
-1.218 -3.350 -2.077
-6.580 0.953 6.418
Sr Pt Sc
2 1 1
direct
0.846 0.846 0.691 Sr
0.154 0.154 0.309 Sr
0.500 0.000 0.000 Pt
0.000 0.500 0.000 Sc
```

***

A relaxed structure of GaCoN2. Source: Alexandria, functional PBEsol.

Calculated values
- Space group: I-42d
- Calculated volume: 10.5 Å³/atom
- Formation energy (no corrections): -0.0431 eV per atom
- M_tot: 0.0 μB per formula unit

```
GaCoN2
1.0
4.349 0.000 0.000
0.000 4.349 0.000
-2.175 -2.175 4.422
Co Ga N
2 2 4
direct
0.750 0.250 0.500 Co
0.500 0.500 0.000 Co
0.250 0.750 0.500 Ga
0.000 0.000 0.000 Ga
0.125 0.145 0.750 N
0.855 0.375 0.250 N
0.625 0.605 0.750 N
0.395 0.875 0.250 N
```

***

A relaxed structure of SrRu. Source: Alexandria, functional PBEsol.

Calculated values
- Space group: Pmmm
- Total DFT energy (no corrections): -5.05 eV/atom
- Calculated volume: 21.3 Å³/atom
- M_tot: 0.0 μB per formula unit

```
SrRu
1.0
2.804 0.025 0.000
-0.028 3.382 0.000
0.000 0.000 4.483
Sr Ru
1 1
direct
0.500 0.500 0.500 Sr
0.000 0.000 0.000 Ru
```